# Li5CaCd6, optimized geometry, DFT PBE
data_Li5CaCd6
_space_group_name_H-M_alt 'P 1 2/m 1'
_space_group_IT_number 10
_cell_length_a 4.816
_cell_length_b 7.098
_cell_length_c 7.571
_cell_angle_alpha 90.00
_cell_angle_beta 107.48
_cell_angle_gamma 90.00
loop_
_space_group_symop_operation_xyz
'x,y,z'
'-x,-y,-z'
'-x,y,-z'
'x,-y,z'
loop_
_atom_site_label
_atom_site_fract_x
_atom_site_fract_y
_atom_site_fract_z
_atom_site_occupancy
Li1 0.000 0.000 0.000 1
Li2 0.330 0.500 0.660 1
Li3 0.335 0.000 0.678 1
Ca1 0.000 0.500 0.000 1
Cd1 0.180 0.229 0.352 1
Cd2 0.500 0.219 0.000 1
# Formation energy, eV/atom: -0.24
# D(E_F), states/eV per atom: 0.33